A relaxed structure of BaMgTc3, computed with GGA-PBE.

a b c (Å): 4.905 4.905 4.905
angles (deg): 90.00 90.00 90.00
Space group Pm-3m (No. 221)
Inequivalent atoms, fractional coordinates:
Ba 0.000 0.000 0.000 [1 per cell]
Mg 0.500 0.500 0.500 [1 per cell]
Tc 0.000 0.500 0.500 [3 per cell]

Values from the calculation:
Energy of formation from the pure elements (meV per atom): 1761
Final energy (eV for the cell shown): -25.81
Relative energy among the computed polymorphs (meV per atom): 0
DOS(E_F) (states/eV per cell): 7.47
M_tot (μB/f.u.): 6.700